1.
A geometry-optimized AcTmGa2Ge2 structure, computed with PBE.

Lattice parameters (Å, degrees): 4.227 4.227 9.072 90.00 90.00 120.00
Sites, in units of the cell vectors:
Ge 0.667 0.333 0.688
Ge 0.333 0.667 0.312
Ac 0.000 0.000 0.000
Ga 0.667 0.333 0.229
Ga 0.333 0.667 0.771
Tm 0.000 0.000 0.500

Calculated values
DFT total energy (eV per formula unit): -27.596
Energy of formation from the pure elements (meV per atom): -621
Volume (Å³ per atom): 23.4

2.
A geometry-optimized Al3Co4 structure, computed with PBE.

Lattice parameters (Å, degrees): 4.877 4.877 4.347 90.00 90.00 120.00
Site moments in Bohr magnetons follow the coordinates.
Sites, in units of the cell vectors:
Co 0.667 0.333 0.500  1.25
Co 0.000 0.000 0.253  1.45
Co 0.333 0.667 0.500  1.25
Co 0.000 0.000 0.747  1.45
Al 0.000 0.500 0.000  -0.02
Al 0.500 0.000 0.000  -0.02
Al 0.500 0.500 0.000  -0.02

Calculated values
DFT total energy (eV per formula unit): -39.145
Energy of formation from the pure elements (meV per atom): 72
Volume (Å³ per atom): 12.8
ΔE to the lowest computed polymorph (meV/atom): 317